Record 1
{"formula": "La4TbPm2Dy2", "functional": "PBE", "state": "optimized geometry", "delta_e_f_ev_per_atom": 0.026, "e_tot_ev_per_atom": -4.7563, "lattice": [[7.783, -2.602, 0.000], [7.783, 2.602, 0.000], [-2.590, 0.000, 7.713]], "species": ["La", "La", "La", "La", "Tb", "Pm", "Pm", "Dy", "Dy"], "frac_coords": [[0.054, 0.054, 0.329], [0.277, 0.277, 0.669], [0.723, 0.723, 0.331], [0.946, 0.946, 0.671], [0.500, 0.500, 0.000], [0.388, 0.388, 0.329], [0.612, 0.612, 0.671], [0.167, 0.167, 0.000], [0.833, 0.833, 0.000]]}

Record 2
{"formula": "Zr2TaSb", "functional": "PBE", "state": "optimized geometry", "e_tot_ev_per_atom": -8.4141, "formation_energy_uncorrected_ev_per_atom": -0.15, "lattice": [[1.916, -2.551, 0.000], [1.916, 2.551, 0.000], [0.000, 0.000, 8.903]], "species": ["Zr", "Zr", "Ta", "Sb"], "frac_coords": [[0.000, 0.000, 0.245], [0.000, 0.000, 0.755], [0.500, 0.500, 0.000], [0.500, 0.500, 0.500]]}

Record 3
{"formula": "LiSbAu3", "functional": "PBE", "state": "optimized geometry", "e_tot_ev_per_atom": -3.4140, "de_polymorph_mev_per_atom": 0, "formation_energy_uncorrected_ev_per_atom": -0.24, "lattice": [[5.005, 0.000, 0.000], [1.194, 4.901, 0.000], [2.485, 0.009, 7.668]], "species": ["Li", "Li", "Sb", "Sb", "Au", "Au", "Au", "Au", "Au", "Au"], "frac_coords": [[0.143, 0.250, 0.215], [0.857, 0.750, 0.785], [0.350, 0.253, 0.801], [0.650, 0.747, 0.199], [0.046, 0.750, 0.408], [0.245, 0.751, 0.006], [0.445, 0.752, 0.608], [0.555, 0.248, 0.392], [0.755, 0.249, 0.994], [0.954, 0.250, 0.592]]}

Record 4
{"formula": "InSbPt2", "functional": "PBE", "state": "optimized geometry", "e_tot_ev_per_atom": -5.0149, "formation_energy_uncorrected_ev_per_atom": -0.28, "lattice": [[3.270, -1.919, 0.000], [3.270, 1.919, 0.000], [-2.198, 0.000, 6.734]], "species": ["In", "Sb", "Pt", "Pt"], "frac_coords": [[0.000, 0.000, 0.000], [0.500, 0.500, 0.500], [0.247, 0.247, 0.742], [0.753, 0.753, 0.258]]}